[1]
An optimized crystal structure of ZrSc2Tl3S6, computed with PBE-GGA.

It has space group C2/m (No. 12), with a = 6.447 Å, b = 11.166 Å, c = 8.319 Å, α = 90.00°, β = 105.06° and γ = 90.00°. The distinct sites, in fractional coordinates, are Zr at (0.000, 0.000, 0.000), Sc at (0.000, 0.333, 0.000), Tl at (0.000, 0.166, 0.500), Tl at (0.000, 0.500, 0.500), S at (0.226, 0.166, 0.180) and S at (0.228, 0.500, 0.180).

The value obtained for the total energy is -0.2097 Ha/atom. The density of states at the Fermi level is 0.314 states/eV per atom.



[2]
An optimized crystal structure of ZrScTl2S4, computed with PBE-GGA.

It has space group P2/m (No. 10), with a = 6.427 Å, b = 3.681 Å, c = 8.402 Å, α = 90.00°, β = 102.34° and γ = 90.00°. The distinct sites, in fractional coordinates, are Zr at (0.000, 0.000, 0.000), Sc at (0.500, 0.500, 0.000), Tl at (0.000, 0.500, 0.500), Tl at (0.500, 0.000, 0.500), S at (0.218, 0.500, 0.180) and S at (0.281, 0.000, 0.822).

The value obtained for the total energy is -0.2117 Ha/atom. The density of states at the Fermi level is 0.446 states/eV per atom.



[3]
An optimized crystal structure of Zr2ScTlS, computed with PBE-GGA.

It has space group P4/mmm (No. 123), with a = 4.869 Å, b = 4.869 Å, c = 4.776 Å, α = 90.00°, β = 90.00° and γ = 90.00°. The distinct sites, in fractional coordinates, are Zr at (0.000, 0.500, 0.000), Sc at (0.000, 0.000, 0.500), Tl at (0.500, 0.500, 0.500) and S at (0.000, 0.000, 0.000).

The value obtained for the total energy is -0.2408 Ha/atom. The density of states at the Fermi level is 0.822 states/eV per atom.



[4]
An optimized crystal structure of TmScS3, computed with PBE-GGA.

It has space group R-3 (No. 148, hexagonal axes), with a = 6.6404 Å, b = 6.6404 Å, c = 17.9740 Å, α = 90.00°, β = 90.00° and γ = 120.00°. The distinct sites, in fractional coordinates, are Tm at (0.0000, 0.0000, 0.1492), Sc at (0.0000, 0.0000, 0.3454) and S at (0.0130, 0.7019, 0.2518).

The value obtained for the total energy is -0.2425 Ha/atom. The density of states at the Fermi level is 0.000 states/eV per atom.



[5]
An optimized crystal structure of TmSc3S6, computed with PBE-GGA.

It has space group R3 (No. 146, hexagonal axes), with a = 6.5558 Å, b = 6.5558 Å, c = 17.8001 Å, α = 90.00°, β = 90.00° and γ = 120.00°. The distinct sites, in fractional coordinates, are Tm at (0.0000, 0.0000, 0.0000), Sc at (0.0000, 0.0000, 0.1952), Sc at (0.0000, 0.0000, 0.5037), Sc at (0.0000, 0.0000, 0.6974), S at (0.0234, 0.6707, 0.7687) and S at (0.0410, 0.3564, 0.2670).

The density of states at the Fermi level is 0.000 states/eV per atom. The value obtained for the energy above the most stable polymorph in this dataset is 11 meV per atom.



[6]
An optimized crystal structure of TmSc2S, computed with PBE-GGA.

It has space group R-3m (No. 166, hexagonal axes), with a = 3.5201 Å, b = 3.5201 Å, c = 26.0837 Å, α = 90.00°, β = 90.00° and γ = 120.00°. The distinct sites, in fractional coordinates, are Tm at (0.0000, 0.0000, 0.0000), Sc at (0.0000, 0.0000, 0.2264) and S at (0.0000, 0.0000, 0.5000).

The density of states at the Fermi level is 1.384 states/eV per atom. The value obtained for the energy above the most stable polymorph in this dataset is 22 meV per atom.



[7]
An optimized crystal structure of TmSc2S, computed with PBE-GGA.

It has space group Cmcm (No. 63), with a = 3.624 Å, b = 11.024 Å, c = 8.535 Å, α = 90.00°, β = 90.00° and γ = 90.00°. The distinct sites, in fractional coordinates, are Tm at (0.000, 0.065, 0.250), Sc at (0.000, 0.357, 0.050) and S at (0.000, 0.239, 0.750).

The density of states at the Fermi level is 1.199 states/eV per atom. The value obtained for the energy above the most stable polymorph in this dataset is 53 meV per atom.



[8]
An optimized crystal structure of Tm6Sc2S3, computed with PBE-GGA.

It has space group R-3m (No. 166, hexagonal axes), with a = 3.6404 Å, b = 3.6404 Å, c = 70.7413 Å, α = 90.00°, β = 90.00° and γ = 120.00°. The distinct sites, in fractional coordinates, are Tm at (0.0000, 0.0000, 0.0719), Tm at (0.0000, 0.0000, 0.1864), Tm at (0.0000, 0.0000, 0.3573), Sc at (0.0000, 0.0000, 0.4426), S at (0.0000, 0.0000, 0.0000) and S at (0.0000, 0.0000, 0.2860).

The value obtained for the total energy is -0.2095 Ha/atom. The density of states at the Fermi level is 1.036 states/eV per atom.



Number 1: volume 24.1 A^3/atom. Number 2: volume 24.3 A^3/atom. Number 3: volume 22.6 A^3/atom. Number 4: volume 22.9 A^3/atom. Number 5: volume 22.1 A^3/atom. Number 6: volume 23.3 A^3/atom. Number 7: volume 21.3 A^3/atom. Number 8: volume 24.6 A^3/atom.